Entry 1:
Material: Mo2HW
Method: DFT, PBE
State: relaxed

Cell and atoms, written as POSCAR:
```
Mo2HW
1.0
2.8199 0.0000 0.0000
1.4099 2.4421 0.0000
1.4099 0.8140 7.6491
H Mo W
1 2 1
Direct
0.5000 0.5000 0.5000
0.1122 0.1122 0.6635
0.8878 0.8878 0.3365
0.0000 0.0000 0.0000
```

Computed properties:
* calculated total energy: -8.912 eV/atom
* space-group type: R-3m
* Fermi-level density of states: 0.717 states/eV per atom
* distance to the lowest polymorph of the same formula: 47 meV per atom

=====

Entry 2:
Material: Rb2MoOsAu
Method: DFT, PBE
State: relaxed

Cell and atoms, written as POSCAR:
```
Rb2MoOsAu
1.0
-5.5341 3.0509 1.3953
-0.2576 -2.4904 4.4236
3.3387 4.7455 2.8661
Mo Os Rb Au
1 1 2 1
Direct
0.5000 0.5000 0.5000
0.0000 0.5000 0.0000
0.0000 0.0000 0.5000
0.5000 0.0000 0.0000
0.0000 0.0000 0.0000
```

Computed properties:
* formation energy from the elements: 184 kJ per mole of atoms
* calculated total energy: -3.550 eV/atom
* space-group type: P4/mmm
* Fermi-level density of states: 0.769 states/eV per atom

=====

Entry 3:
Material: Ti2InBi2
Method: DFT, PBE
State: relaxed

Cell and atoms, written as POSCAR:
```
Ti2InBi2
1.0
-4.7406 2.7332 5.4259
3.7439 -4.1059 5.3394
2.4107 2.9830 0.6036
Ti In Bi
4 2 4
Direct
0.6376 0.1376 0.0000
0.8624 0.6376 0.0000
0.3624 0.8624 0.0000
0.1376 0.3624 0.0000
0.5000 0.5000 0.0000
0.0000 0.0000 0.0000
0.3417 0.1583 0.5000
0.6583 0.8417 0.5000
0.8417 0.3417 0.5000
0.1583 0.6583 0.5000
```

Computed properties:
* formation energy from the elements: -5 kJ per mole of atoms
* calculated total energy: -5.308 eV/atom
* space-group type: P4/mbm
* Fermi-level density of states: 0.723 states/eV per atom
* distance to the lowest polymorph of the same formula: 0 meV per atom

=====

Entry 4:
Material: SiPSe2
Method: DFT, PBE
State: relaxed

Cell and atoms, written as POSCAR:
```
SiPSe2
1.0
7.4119 0.0166 0.0000
5.6678 4.7763 0.0000
-6.5399 -2.3965 2.5346
Se Si P
2 1 1
Direct
0.2500 0.7500 0.5000
0.0000 0.0000 0.0000
0.5000 0.5000 0.0000
0.7500 0.2500 0.5000
```

Computed properties:
* calculated total energy: -4.013 eV/atom
* space-group type: I-4m2
* Fermi-level density of states: 0.494 states/eV per atom
* distance to the lowest polymorph of the same formula: 524 meV per atom

=====

Entry 5:
Material: Sc2Ga3Si
Method: DFT, PBE
State: relaxed

Cell and atoms, written as POSCAR:
```
Sc2Ga3Si
1.0
-1.9196 3.5276 1.5311
-2.4972 -0.4565 -2.0791
-3.4961 -4.1173 5.1030
Si Sc Ga
1 2 3
Direct
0.5000 0.5000 0.6665
0.0000 0.0000 0.5114
0.5000 0.0000 0.9865
0.0000 0.5000 0.8313
0.0000 0.5000 0.1679
0.5000 0.5000 0.3364
```

Computed properties:
* calculated total energy: -5.021 eV/atom
* space-group type: Pmm2
* Fermi-level density of states: 0.244 states/eV per atom

=====

Entry 6:
Material: ZrNbCdO6
Method: DFT, PBE
State: relaxed

Cell and atoms, written as POSCAR:
```
ZrNbCdO6
1.0
4.7142 0.0000 0.0000
0.0000 5.4966 0.0000
0.0000 -2.7483 4.7602
O Cd Nb Zr
6 1 1 1
Direct
0.7278 0.9820 0.3018
0.2722 0.3198 0.3018
0.2722 0.6982 0.0180
0.2722 0.9820 0.6802
0.7278 0.3198 0.0180
0.7278 0.6982 0.6802
0.0000 0.3333 0.6667
0.5000 0.0000 0.0000
0.5000 0.6667 0.3333
```

Computed properties:
* calculated total energy: -7.651 eV/atom
* space-group type: P312
* Fermi-level density of states: 0.697 states/eV per atom

=====

Which value of calculated total energy does entry 2 give? -3.550 eV/atom

=====

Copy entry 4 word for word.
Material: SiPSe2
Method: DFT, PBE
State: relaxed

Cell and atoms, written as POSCAR:
```
SiPSe2
1.0
7.4119 0.0166 0.0000
5.6678 4.7763 0.0000
-6.5399 -2.3965 2.5346
Se Si P
2 1 1
Direct
0.2500 0.7500 0.5000
0.0000 0.0000 0.0000
0.5000 0.5000 0.0000
0.7500 0.2500 0.5000
```

Computed properties:
* calculated total energy: -4.013 eV/atom
* space-group type: I-4m2
* Fermi-level density of states: 0.494 states/eV per atom
* distance to the lowest polymorph of the same formula: 524 meV per atom